Entry from Alexandria: a relaxed structure of NaIr2W (PBE).

a b c (Å): 5.848 5.848 5.848
angles (deg): 103.34 103.34 122.58
Positions (direct):
Na 0.000 0.000 0.000
Na 0.750 0.250 0.500
Ir 0.171 0.625 0.046
Ir 0.375 0.421 0.546
Ir 0.579 0.125 0.954
Ir 0.875 0.829 0.454
W 0.250 0.750 0.500
W 0.500 0.500 0.000

Calculated values
* crystal system: tetragonal
* size of the total moment: 0.00 μB/cell
* E above lowest polymorph: 332 meV/atom
* space-group type: I-42d
* ΔE_f: 250 kJ/mol of formula units
* E_tot: -7.351 eV per atom
* V: 18.5 Å³/atom